[1]
Compound: Ga2BPb
Source: the Alexandria database
Functional: PBE
Structure: relaxed

total moment	0.00	μB per cell
SG	Fm-3m (225)
ΔE_f	372.0	kJ/mol of formula units
total DFT energy (no corrections)	-3.146	eV per atom

The structure in POSCAR format:
```
Ga2BPb
1.0
4.455 -0.752 1.746
1.042 -4.149 2.273
2.910 -3.250 -2.105
Pb B Ga
1 1 2
Direct
0.500 0.500 0.500
0.000 0.000 0.000
0.250 0.250 0.250
0.750 0.750 0.750
```

[2]
Compound: Ga3BPb
Source: the Alexandria database
Functional: PBE
Structure: relaxed

total moment	0.00	μB per cell
SG	Pm-3m (221)
ΔE_f	195.8	kJ/mol of formula units
total DFT energy (no corrections)	-3.487	eV per atom

The structure in POSCAR format:
```
Ga3BPb
1.0
4.558 0.000 0.000
0.000 4.558 0.000
0.000 0.000 4.558
Pb B Ga
1 1 3
Direct
0.500 0.500 0.500
0.000 0.000 0.000
0.000 0.500 0.000
0.000 0.000 0.500
0.500 0.000 0.000
```

[3]
Compound: GaBPb3
Source: the Alexandria database
Functional: PBE
Structure: relaxed

total moment	0.00	μB per cell
SG	Pm-3m (221)
ΔE_f	619.1	kJ/mol of formula units
total DFT energy (no corrections)	-2.882	eV per atom

The structure in POSCAR format:
```
GaBPb3
1.0
5.483 0.000 0.000
0.000 5.483 0.000
0.000 0.000 5.483
Pb B Ga
3 1 1
Direct
0.000 0.500 0.000
0.000 0.000 0.500
0.500 0.000 0.000
0.500 0.500 0.500
0.000 0.000 0.000
```

[4]
Compound: GaBPb3
Source: the Alexandria database
Functional: PBE
Structure: relaxed

total moment	0.00	μB per cell
SG	Pm-3m (221)
ΔE_f	325.1	kJ/mol of formula units
total DFT energy (no corrections)	-3.492	eV per atom

The structure in POSCAR format:
```
GaBPb3
1.0
-1.912 -4.575 1.199
3.646 -0.602 3.516
-3.012 2.175 3.496
Pb B Ga
3 1 1
Direct
0.000 0.500 0.000
0.000 0.000 0.500
0.500 0.000 0.000
0.000 0.000 0.000
0.500 0.500 0.500
```

[5]
Compound: GaB2Pb
Source: the Alexandria database
Functional: PBE
Structure: relaxed

total moment	0.00	μB per cell
SG	I-42d (122)
ΔE_f	378.1	kJ/mol of formula units
total DFT energy (no corrections)	-4.043	eV per atom

The structure in POSCAR format:
```
GaB2Pb
1.0
-0.198 -3.997 2.245
1.557 -2.173 -3.730
6.687 -2.248 1.278
Pb B Ga
2 4 2
Direct
0.000 0.000 0.000
0.750 0.250 0.500
0.539 0.125 0.250
0.211 0.625 0.250
0.375 0.461 0.750
0.875 0.789 0.750
0.500 0.500 0.000
0.250 0.750 0.500
```

[6]
Compound: GaB2Pb
Source: the Alexandria database
Functional: PBE
Structure: relaxed

total moment	0.00	μB per cell
SG	Fm-3m (225)
ΔE_f	593.1	kJ/mol of formula units
total DFT energy (no corrections)	-3.486	eV per atom

The structure in POSCAR format:
```
GaB2Pb
1.0
2.536 0.995 3.577
-1.751 -0.241 4.134
1.305 -3.260 2.807
Pb B Ga
1 2 1
Direct
0.500 0.500 0.500
0.250 0.250 0.250
0.750 0.750 0.750
0.000 0.000 0.000
```

[7]
Compound: Ga2BPbS6
Source: the Alexandria database
Functional: PBE
Structure: relaxed

E_form (uncorrected)	-3.68	eV/f.u.
total moment	2.04	μB per cell
SG	C2/c (15)
total DFT energy (no corrections)	-4.489	eV per atom

The structure in POSCAR format:
```
Ga2BPbS6
1.0
7.358 0.303 0.315
2.769 8.298 -0.253
2.769 -0.561 8.283
Ga B Pb S
4 2 2 12
Direct
0.426 0.762 0.597
0.074 0.403 0.238
0.574 0.238 0.403
0.926 0.597 0.762
0.250 0.178 0.822
0.750 0.822 0.178
0.250 0.874 0.126
0.750 0.126 0.874
0.204 0.969 0.814
0.296 0.186 0.031
0.796 0.031 0.186
0.704 0.814 0.969
0.489 0.843 0.342
0.011 0.658 0.157
0.511 0.157 0.658
0.989 0.342 0.843
0.153 0.686 0.568
0.347 0.432 0.314
0.847 0.314 0.432
0.653 0.568 0.686
```

[8]
Compound: GaBPbSe2
Source: the Alexandria database
Functional: PBE
Structure: relaxed

E_form (uncorrected)	2.58	eV/f.u.
total moment	0.00	μB per cell
SG	P4/mmm (123)
total DFT energy (no corrections)	-3.560	eV per atom

The structure in POSCAR format:
```
GaBPbSe2
1.0
-1.992 3.859 1.944
-4.109 -2.370 0.494
1.366 -1.468 4.315
Pb B Ga Se
1 1 1 2
Direct
0.000 0.500 0.000
0.000 0.000 0.000
0.500 0.500 0.500
0.000 0.000 0.500
0.500 0.000 0.000
```